Run w
The following is a PBE calculation of a relaxed Hg2AuBr crystal, from the Alexandria database.

Properties
Symmetry: No. 12

a b c (Å): 5.109 5.109 5.631
angles (deg): 72.88 72.88 114.43
Element x y z (fractional)
Br 0.000 0.500 0.500
Hg 0.500 0.500 0.000
Au 0.500 0.000 0.500
Hg 0.000 0.000 0.000

Run x
The following is a PBE calculation of a relaxed Hg2AuBr crystal, from the Alexandria database.

Properties
Symmetry: No. 10

a b c (Å): 4.479 5.735 5.742
angles (deg): 55.07 90.00 90.00
Element x y z (fractional)
Hg 0.000 0.066 0.066
Au 0.500 0.250 0.250
Br 0.500 0.750 0.750
Hg 0.000 0.434 0.434

Run y
The following is a PBE calculation of a relaxed Hg2AuBr crystal, from the Alexandria database.

Properties
Symmetry: No. 71

a b c (Å): 5.875 5.875 5.875
angles (deg): 141.88 106.65 85.80
Element x y z (fractional)
Au 0.750 0.250 0.500
Hg 0.984 0.984 0.000
Hg 0.516 0.516 0.000
Br 0.250 0.750 0.500

Run z
The following is a PBE calculation of a relaxed Hg2AuBr crystal, from the Alexandria database.

Properties
Symmetry: No. 123

a b c (Å): 4.113 4.116 6.331
angles (deg): 90.00 90.00 90.00
Element x y z (fractional)
Hg 0.500 0.500 0.000
Hg 0.000 0.000 0.000
Br 0.000 0.500 0.500
Au 0.500 0.000 0.500

The data favor run x; the next most stable structure lies 63 meV per atom above it.

Run w
The following is a PBE calculation of a relaxed Hg2AuBr crystal, from the Alexandria database.

Properties
Symmetry: No. 65

a b c (Å): 3.841 3.841 8.294
angles (deg): 90.00 90.00 117.23
Element x y z (fractional)
Hg 0.000 0.000 0.484
Hg 0.000 0.000 0.016
Au 0.500 0.500 0.250
Br 0.500 0.500 0.750

Run x
The following is a PBE calculation of a relaxed Hg2AuBr crystal, from the Alexandria database.

Properties
Symmetry: No. 123

a b c (Å): 5.399 5.399 3.272
angles (deg): 90.00 90.00 90.00
Element x y z (fractional)
Hg 0.000 0.000 0.000
Au 0.500 0.000 0.500
Br 0.000 0.500 0.500
Hg 0.500 0.500 0.000

Run y
The following is a PBE calculation of a relaxed Hg2AuBr crystal, from the Alexandria database.

Properties
Symmetry: No. 119

a b c (Å): 5.493 5.493 5.493
angles (deg): 103.96 103.96 121.17
Element x y z (fractional)
Hg 0.250 0.750 0.500
Au 0.500 0.500 0.000
Br 0.750 0.250 0.500
Hg 0.000 0.000 0.000

Run z
The following is a PBE calculation of a relaxed Hg2AuBr crystal, from the Alexandria database.

Properties
Symmetry: No. 38

a b c (Å): 4.043 5.970 5.975
angles (deg): 55.47 90.00 90.00
Element x y z (fractional)
Hg 0.500 0.320 0.319
Hg 0.000 0.987 0.987
Au 0.000 0.501 0.502
Br 0.500 0.692 0.693

The data favor run z; the next most stable structure lies 59 meV per atom above it.

Run w
The following is a PBE calculation of a relaxed Hg3AuBr crystal, from the Alexandria database.

Properties
Symmetry: No. 221

a b c (Å): 5.416 5.416 5.416
angles (deg): 90.00 90.00 90.00
Element x y z (fractional)
Hg 0.500 0.000 0.000
Hg 0.000 0.500 0.000
Hg 0.000 0.000 0.500
Au 0.000 0.000 0.000
Br 0.500 0.500 0.500

Run x
The following is a PBE calculation of a relaxed Hg3AuBr crystal, from the Alexandria database.

Properties
Symmetry: No. 12

a b c (Å): 6.877 6.877 14.711
angles (deg): 69.06 69.06 76.45
Element x y z (fractional)
Au 0.750 0.250 0.250
Au 0.250 0.750 0.750
Hg 0.159 0.660 0.604
Hg 0.141 0.146 0.632
Hg 0.859 0.854 0.368
Br 0.124 0.624 0.121
Hg 0.353 0.359 0.368
Br 0.876 0.376 0.879
Hg 0.854 0.859 0.868
Br 0.624 0.124 0.621
Hg 0.146 0.141 0.132
Hg 0.359 0.353 0.868
Hg 0.647 0.641 0.632
Au 0.000 0.500 0.500
Au 0.500 0.000 0.000
Hg 0.340 0.841 0.896
Hg 0.841 0.340 0.396
Hg 0.641 0.647 0.132
Br 0.376 0.876 0.379
Hg 0.660 0.159 0.104

The data favor run x; the next most stable structure lies 33 meV per atom above it.